Here is a relaxed K2LuZrP3O12 crystal from Alexandria via LeMat-Bulk. Energies are from PBE-GGA.

Calculated values
E_form (uncorrected), eV/atom: -2.76

Cell lengths 10.4269, 10.4269, 10.4269 Å; angles 90.00, 90.00, 90.00 degrees
Sites, in units of the cell vectors:
O (0.9755, 0.2047, 0.7396)
O (0.8524, 0.0080, 0.4135)
O (0.2010, 0.9638, 0.0563)
O (0.4437, 0.7990, 0.4638)
O (0.2396, 0.5245, 0.7953)
O (0.1476, 0.5080, 0.0865)
O (0.9135, 0.6476, 0.9920)
O (0.7010, 0.5362, 0.9437)
O (0.7604, 0.0245, 0.7047)
O (0.2311, 0.0771, 0.3260)
O (0.4920, 0.5865, 0.3524)
O (0.0865, 0.1476, 0.5080)
O (0.6476, 0.9920, 0.9135)
O (0.0080, 0.4135, 0.8524)
O (0.0771, 0.3260, 0.2311)
O (0.8260, 0.2689, 0.9229)
O (0.0563, 0.2010, 0.9638)
O (0.3260, 0.2311, 0.0771)
O (0.9638, 0.0563, 0.2010)
O (0.7990, 0.4638, 0.4437)
O (0.7689, 0.5771, 0.1740)
O (0.4755, 0.2953, 0.2604)
O (0.2953, 0.2604, 0.4755)
O (0.3524, 0.4920, 0.5865)
O (0.2604, 0.4755, 0.2953)
O (0.1740, 0.7689, 0.5771)
O (0.5563, 0.2990, 0.0362)
O (0.2047, 0.7396, 0.9755)
O (0.7953, 0.2396, 0.5245)
O (0.6740, 0.7311, 0.4229)
O (0.5771, 0.1740, 0.7689)
O (0.9920, 0.9135, 0.6476)
O (0.5245, 0.7953, 0.2396)
O (0.0245, 0.7047, 0.7604)
O (0.7047, 0.7604, 0.0245)
O (0.0362, 0.5563, 0.2990)
O (0.2990, 0.0362, 0.5563)
O (0.5865, 0.3524, 0.4920)
O (0.2689, 0.9229, 0.8260)
O (0.5080, 0.0865, 0.1476)
O (0.9437, 0.7010, 0.5362)
O (0.7311, 0.4229, 0.6740)
O (0.7396, 0.9755, 0.2047)
O (0.4135, 0.8524, 0.0080)
O (0.5362, 0.9437, 0.7010)
O (0.4229, 0.6740, 0.7311)
O (0.9229, 0.8260, 0.2689)
O (0.4638, 0.4437, 0.7990)
Zr (0.0876, 0.5876, 0.9124)
Zr (0.4124, 0.4124, 0.4124)
Zr (0.5876, 0.9124, 0.0876)
Zr (0.9124, 0.0876, 0.5876)
P (0.8728, 0.9646, 0.2719)
P (0.3728, 0.5354, 0.7281)
P (0.4646, 0.2281, 0.1272)
P (0.0354, 0.7719, 0.6272)
P (0.7281, 0.3728, 0.5354)
P (0.5354, 0.7281, 0.3728)
P (0.2719, 0.8728, 0.9646)
P (0.9646, 0.2719, 0.8728)
P (0.1272, 0.4646, 0.2281)
P (0.2281, 0.1272, 0.4646)
P (0.7719, 0.6272, 0.0354)
P (0.6272, 0.0354, 0.7719)
Lu (0.1453, 0.1453, 0.1453)
Lu (0.8547, 0.6453, 0.3547)
Lu (0.6453, 0.3547, 0.8547)
Lu (0.3547, 0.8547, 0.6453)
K (0.5669, 0.0669, 0.4331)
K (0.0669, 0.4331, 0.5669)
K (0.4331, 0.5669, 0.0669)
K (0.1971, 0.8029, 0.3029)
K (0.9331, 0.9331, 0.9331)
K (0.8029, 0.3029, 0.1971)
K (0.3029, 0.1971, 0.8029)
K (0.6971, 0.6971, 0.6971)